# 1
Compound: Tl2Ga9Sn3
Source: Alexandria
Functional: PBE-GGA
Structure: relaxed

Cell lengths 15.191, 8.748, 9.827 Å; angles 90.00, 90.00, 90.00 degrees
Space group Cmcm (No. 63)
Inequivalent atoms, fractional coordinates:
Tl 0.148 0.157 0.250 [8 per cell]
Ga 0.000 0.208 0.750 [4 per cell]
Ga 0.000 0.345 0.032 [8 per cell]
Ga 0.093 0.491 0.750 [8 per cell]
Ga 0.159 0.195 0.607 [16 per cell]
Sn 0.000 0.000 0.000 [4 per cell]
Sn 0.203 0.500 0.000 [8 per cell]

Calculated values
- density of states at the Fermi level (states/eV per cell) = 20.98
- E_tot (eV per atom) = -3.098



# 2
Compound: Ba8RhSe3I4
Source: Alexandria
Functional: PBE-GGA
Structure: relaxed

Cell lengths 9.5366, 9.5366, 24.8994 Å; angles 90.00, 90.00, 120.00 degrees
Space group R-3m (No. 166, hexagonal axes)
Inequivalent atoms, fractional coordinates:
Ba 0.0000 0.0000 0.2376 [6 per cell]
Ba 0.0150 0.5075 0.2347 [18 per cell]
Rh 0.0000 0.0000 0.5000 [3 per cell]
Se 0.0000 0.5000 0.5000 [9 per cell]
I 0.0000 0.0000 0.0000 [3 per cell]
I 0.0000 0.5000 0.0000 [9 per cell]

Calculated values
- density of states at the Fermi level (states/eV per cell) = 35.43
- E_tot (eV per atom) = -3.951
- formation energy (no corrections) (eV/atom) = -1.489



# 3
Compound: TbSm4Sc7
Source: Alexandria
Functional: PBE-GGA
Structure: relaxed

Cell lengths 11.478, 5.606, 12.127 Å; angles 90.00, 117.07, 90.00 degrees
Space group C2/m (No. 12)
Inequivalent atoms, fractional coordinates:
Tb 0.000 0.000 0.000 [2 per cell]
Sm 0.059 0.500 0.341 [4 per cell]
Sm 0.144 0.000 0.778 [4 per cell]
Sc 0.000 0.500 0.000 [2 per cell]
Sc 0.138 0.000 0.507 [4 per cell]
Sc 0.209 0.500 0.923 [4 per cell]
Sc 0.242 0.000 0.314 [4 per cell]

Calculated values
- density of states at the Fermi level (states/eV per cell) = 42.92
- E_tot (eV per atom) = -5.393



# 4
Compound: NaCaSmAu
Source: Alexandria
Functional: PBE-GGA
Structure: relaxed

Cell lengths 7.530, 7.530, 7.530 Å; angles 90.00, 90.00, 90.00 degrees
Space group F-43m (No. 216)
Inequivalent atoms, fractional coordinates:
Na 0.000 0.000 0.000 [4 per cell]
Ca 0.250 0.250 0.250 [4 per cell]
Sm 0.250 0.250 0.750 [4 per cell]
Au 0.000 0.000 0.500 [4 per cell]

Calculated values
- density of states at the Fermi level (states/eV per cell) = 14.62
- E_tot (eV per atom) = -3.080



# 5
Compound: Be4InOs
Source: Alexandria
Functional: PBE-GGA
Structure: relaxed

Cell lengths 6.385, 6.385, 6.385 Å; angles 90.00, 90.00, 90.00 degrees
Space group F-43m (No. 216)
Inequivalent atoms, fractional coordinates:
Be 0.123 0.123 0.123 [16 per cell]
In 0.000 0.000 0.500 [4 per cell]
Os 0.250 0.250 0.750 [4 per cell]

Calculated values
- density of states at the Fermi level (states/eV per cell) = 12.98
- E_tot (eV per atom) = -4.836



# 6
Compound: ThTcRh
Source: Alexandria
Functional: PBE-GGA
Structure: relaxed

Cell lengths 3.417, 15.372, 4.443 Å; angles 90.00, 90.00, 90.00 degrees
Space group Cmcm (No. 63)
Inequivalent atoms, fractional coordinates:
Th 0.000 0.107 0.250 [4 per cell]
Tc 0.000 0.224 0.750 [4 per cell]
Rh 0.000 0.433 0.250 [4 per cell]

Calculated values
- density of states at the Fermi level (states/eV per cell) = 13.02
- E_tot (eV per atom) = -8.544



# 7
Compound: LuSnHg
Source: Alexandria
Functional: PBE-GGA
Structure: relaxed

Cell lengths 6.882, 6.882, 6.882 Å; angles 90.00, 90.00, 90.00 degrees
Space group F-43m (No. 216)
Inequivalent atoms, fractional coordinates:
Lu 0.000 0.000 0.000 [4 per cell]
Sn 0.000 0.000 0.500 [4 per cell]
Hg 0.250 0.250 0.250 [4 per cell]

Calculated values
- density of states at the Fermi level (states/eV per cell) = 7.55
- E_tot (eV per atom) = -3.184
- polymorph energy (0 for the lowest one) (eV per atom) = 0.1186



# 8
Compound: Cu5H12Ir3
Source: Alexandria
Functional: PBE-GGA
Structure: relaxed

Cell lengths 10.649, 10.649, 10.649 Å; angles 90.00, 90.00, 90.00 degrees
Space group Ia-3d (No. 230)
Inequivalent atoms, fractional coordinates:
Cu 0.000 0.000 0.000 [16 per cell]
Cu 0.000 0.250 0.375 [24 per cell]
H 0.013 0.076 0.655 [96 per cell]
Ir 0.000 0.250 0.125 [24 per cell]

Calculated values
- density of states at the Fermi level (states/eV per cell) = 36.62
- E_tot (eV per atom) = -4.075



# 9
Compound: Pr8SiSn2
Source: Alexandria
Functional: PBE-GGA
Structure: relaxed

Cell lengths 19.845, 5.252, 6.991 Å; angles 90.00, 106.16, 90.00 degrees
Space group C2/m (No. 12)
Inequivalent atoms, fractional coordinates:
Pr 0.013 0.000 0.277 [4 per cell]
Pr 0.090 0.500 0.962 [4 per cell]
Pr 0.152 0.500 0.495 [4 per cell]
Pr 0.219 0.000 0.817 [4 per cell]
Si 0.000 0.500 0.500 [2 per cell]
Sn 0.176 0.000 0.244 [4 per cell]

Calculated values
- density of states at the Fermi level (states/eV per cell) = 26.39
- E_tot (eV per atom) = -5.088
- formation energy (no corrections) (eV/atom) = -0.391



# 10
Compound: RbNpGaTe3
Source: Alexandria
Functional: PBE-GGA
Structure: relaxed

Cell lengths 10.391, 4.281, 10.567 Å; angles 90.00, 106.53, 90.00 degrees
Space group P2_1/m (No. 11)
Inequivalent atoms, fractional coordinates:
Rb 0.185 0.250 0.230 [2 per cell]
Np 0.349 0.750 0.839 [2 per cell]
Ga 0.100 0.250 0.550 [2 per cell]
Te 0.129 0.250 0.824 [2 per cell]
Te 0.291 0.750 0.544 [2 per cell]
Te 0.435 0.750 0.144 [2 per cell]

Calculated values
- density of states at the Fermi level (states/eV per cell) = 20.08
- E_tot (eV per atom) = -5.047
- formation energy (no corrections) (eV/atom) = -0.654



# 11
Compound: SrNdPd10
Source: Alexandria
Functional: PBE-GGA
Structure: relaxed

Cell lengths 4.480, 5.404, 9.369 Å; angles 90.00, 90.00, 90.00 degrees
Space group Pmmm (No. 47)
Inequivalent atoms, fractional coordinates:
Sr 0.000 0.000 0.000 [1 per cell]
Nd 0.000 0.500 0.500 [1 per cell]
Pd 0.000 0.000 0.338 [2 per cell]
Pd 0.000 0.500 0.173 [2 per cell]
Pd 0.500 0.000 0.500 [1 per cell]
Pd 0.500 0.252 0.254 [4 per cell]
Pd 0.500 0.500 0.000 [1 per cell]

Calculated values
- density of states at the Fermi level (states/eV per cell) = 13.05
- E_tot (eV per atom) = -5.310



# 12
Compound: InBiIN2
Source: Alexandria
Functional: PBE-GGA
Structure: relaxed

Cell lengths 4.575, 4.575, 7.434 Å; angles 90.00, 90.00, 90.00 degrees
Space group P4/mmm (No. 123)
Inequivalent atoms, fractional coordinates:
In 0.000 0.000 0.000 [1 per cell]
Bi 0.500 0.500 0.500 [1 per cell]
I 0.500 0.500 0.000 [1 per cell]
N 0.000 0.500 0.500 [2 per cell]

Calculated values
- density of states at the Fermi level (states/eV per cell) = 2.66
- E_tot (eV per atom) = -3.682
- formation energy (no corrections) (eV/atom) = 1.282
- polymorph energy (0 for the lowest one) (eV per atom) = 0.0000



# 13
Compound: TiCrTc2
Source: Alexandria
Functional: PBE-GGA
Structure: relaxed

Cell lengths 4.292, 4.292, 3.042 Å; angles 90.00, 90.00, 90.00 degrees
Space group P4/mmm (No. 123)
Inequivalent atoms, fractional coordinates:
Ti 0.000 0.000 0.000 [1 per cell]
Cr 0.500 0.500 0.000 [1 per cell]
Tc 0.000 0.500 0.500 [2 per cell]

Calculated values
- density of states at the Fermi level (states/eV per cell) = 2.61
- E_tot (eV per atom) = -9.821



# 14
Compound: Dy8SnSb5
Source: Alexandria
Functional: PBE-GGA
Structure: relaxed

Cell lengths 9.212, 9.212, 9.202 Å; angles 90.00, 90.00, 90.00 degrees
Space group I-4 (No. 82)
Inequivalent atoms, fractional coordinates:
Dy 0.072 0.178 0.303 [8 per cell]
Dy 0.072 0.323 0.948 [8 per cell]
Sn 0.000 0.500 0.250 [2 per cell]
Sb 0.000 0.000 0.000 [2 per cell]
Sb 0.125 0.250 0.626 [8 per cell]

Calculated values
- density of states at the Fermi level (states/eV per cell) = 29.79
- E_tot (eV per atom) = -5.336
- formation energy (no corrections) (eV/atom) = -0.948



# 15
Compound: Sr5SmPb6
Source: Alexandria
Functional: PBE-GGA
Structure: relaxed

Cell lengths 17.908, 7.592, 6.041 Å; angles 90.00, 97.95, 90.00 degrees
Space group C2/m (No. 12)
Inequivalent atoms, fractional coordinates:
Sr 0.000 0.000 0.000 [2 per cell]
Sr 0.166 0.000 0.680 [4 per cell]
Sr 0.179 0.500 0.699 [4 per cell]
Sm 0.000 0.500 0.000 [2 per cell]
Pb 0.000 0.276 0.500 [4 per cell]
Pb 0.156 0.268 0.189 [8 per cell]

Calculated values
- density of states at the Fermi level (states/eV per cell) = 9.39
- E_tot (eV per atom) = -3.467



# 16
Compound: Rb2NbNi
Source: Alexandria
Functional: PBE-GGA
Structure: relaxed

Cell lengths 8.336, 8.336, 8.336 Å; angles 90.00, 90.00, 90.00 degrees
Space group Fm-3m (No. 225)
Inequivalent atoms, fractional coordinates:
Rb 0.250 0.250 0.250 [8 per cell]
Nb 0.000 0.000 0.000 [4 per cell]
Ni 0.000 0.000 0.500 [4 per cell]

Calculated values
- density of states at the Fermi level (states/eV per cell) = 21.62
- E_tot (eV per atom) = -2.698
- polymorph energy (0 for the lowest one) (eV per atom) = 0.5664